Material: Pa2CrCoS5
Method: DFT, PBE-GGA
State: relaxed

abc: 7.866 7.866 11.240
angles: 90.00 90.00 152.86
Fractional coordinates of all 18 atoms:
Pa: 0.112 0.888 0.500
Pa: 0.124 0.876 0.855
Pa: 0.876 0.124 0.355
Pa: 0.888 0.112 0.000
Cr: 0.172 0.828 0.186
Cr: 0.828 0.172 0.686
Co: 0.437 0.563 0.581
Co: 0.563 0.437 0.081
S: 0.017 0.983 0.175
S: 0.303 0.697 0.516
S: 0.308 0.692 0.829
S: 0.335 0.665 0.175
S: 0.500 0.500 0.410
S: 0.500 0.500 0.910
S: 0.665 0.335 0.675
S: 0.692 0.308 0.329
S: 0.697 0.303 0.016
S: 0.983 0.017 0.675

E_form (uncorrected) in eV/atom: -1.18
Magnetization in μB per cell: 6.83
Space-group type: Cmc2_1
E_tot in eV per atom: -7.4387